Record 1
Material: Tl3GaI
Method: DFT, SCAN
State: PBEsol geometry Values from VASP.

```
&SYSTEM
  ibrav = 0, nat = 5, ntyp = 3
/
ATOMIC_SPECIES
Tl 204.38 Tl.upf
Ga 69.72 Ga.upf
I 126.90 I.upf
CELL_PARAMETERS angstrom
5.460 0.000 0.000
0.000 5.460 0.000
0.000 0.000 5.460
ATOMIC_POSITIONS crystal
Tl 0.000 0.000 0.500
Tl 0.000 0.500 0.000
Tl 0.500 0.000 0.000
Ga 0.000 0.000 0.000
I 0.500 0.500 0.500
```

Values from the calculation:
- crystal system = cubic


Record 2
Material: TlGaI2
Method: DFT, SCAN
State: PBEsol geometry Values from VASP.

```
&SYSTEM
  ibrav = 0, nat = 8, ntyp = 3
/
ATOMIC_SPECIES
Tl 204.38 Tl.upf
Ga 69.72 Ga.upf
I 126.90 I.upf
CELL_PARAMETERS angstrom
-3.770 3.770 7.349
3.770 -3.770 7.349
3.770 3.770 -7.349
ATOMIC_POSITIONS crystal
Tl 0.000 0.000 0.000
Tl 0.750 0.250 0.500
Ga 0.250 0.750 0.500
Ga 0.500 0.500 0.000
I 0.150 0.625 0.025
I 0.375 0.400 0.525
I 0.600 0.125 0.975
I 0.875 0.850 0.475
```

Values from the calculation:
- energy relative to the lowest polymorph listed for this composition (eV/atom) = 0.077
- crystal system = tetragonal


Record 3
Material: TlGaI4
Method: DFT, SCAN
State: PBEsol geometry Values from VASP.

```
&SYSTEM
  ibrav = 0, nat = 24, ntyp = 3
/
ATOMIC_SPECIES
Tl 204.38 Tl.upf
Ga 69.72 Ga.upf
I 126.90 I.upf
CELL_PARAMETERS angstrom
7.899 0.000 0.000
0.000 7.731 0.000
-1.494 0.000 15.682
ATOMIC_POSITIONS crystal
Tl 0.245 0.016 0.139
Tl 0.245 0.484 0.639
Tl 0.755 0.516 0.361
Tl 0.755 0.984 0.861
Ga 0.255 0.136 0.860
Ga 0.255 0.364 0.360
Ga 0.745 0.636 0.640
Ga 0.745 0.864 0.140
I 0.070 0.234 0.469
I 0.070 0.266 0.969
I 0.073 0.096 0.717
I 0.073 0.404 0.217
I 0.361 0.659 0.416
I 0.361 0.841 0.916
I 0.496 0.152 0.335
I 0.496 0.348 0.835
I 0.504 0.652 0.165
I 0.504 0.848 0.665
I 0.639 0.159 0.084
I 0.639 0.341 0.584
I 0.927 0.596 0.783
I 0.927 0.904 0.283
I 0.930 0.734 0.031
I 0.930 0.766 0.531
```

Values from the calculation:
- crystal system = monoclinic


Ordered total energy results: -270.55; -326.73; -956.74; unit eV for the cell shown.
Ordered calculated density results: 8.261; 4.196; 5.422; unit g/cm3.